No. 1
Entry from Alexandria via LeMat-Bulk: a relaxed structure of IrRhBrO2 (PBE-GGA).

Geometry as POSCAR:
```
IrRhBrO2
1.0
3.736 0.000 0.000
0.000 3.736 0.000
0.000 0.000 5.566
Ir Rh Br O
1 1 1 2
Cartesian
0.000 0.000 0.000
0.000 0.000 2.783
1.868 1.868 0.000
0.000 1.868 2.783
1.868 0.000 2.783
```

Summary:
E_form (uncorrected) (eV/atom): 0.270
Electronic total energy (eV per cell): -26.45

---

No. 2
Entry from Alexandria via LeMat-Bulk: a relaxed structure of IrS2BrO8 (PBE-GGA).

Geometry as POSCAR:
```
IrS2BrO8
1.0
4.079 -2.607 0.000
4.079 2.607 0.000
-3.497 0.000 9.021
Ir S Br O
1 2 1 8
Cartesian
0.000 0.000 0.000
2.895 0.000 1.541
1.767 0.000 7.479
-1.748 0.000 4.510
0.829 1.206 7.596
2.016 0.000 0.318
3.832 1.206 1.425
2.249 0.000 2.818
2.412 0.000 6.202
0.829 -1.206 7.596
2.646 0.000 8.703
3.832 -1.206 1.425
```

Summary:
E_form (uncorrected) (eV/atom): -0.788
Electronic total energy (eV per cell): -67.91

---

No. 3
Entry from Alexandria via LeMat-Bulk: a relaxed structure of IrS2BrO (PBE-GGA).

Geometry as POSCAR:
```
IrS2BrO
1.0
3.827 0.000 0.000
0.000 3.827 0.000
0.000 0.000 6.020
Ir S Br O
1 2 1 1
Cartesian
0.000 0.000 0.000
0.000 1.914 3.010
1.914 0.000 3.010
1.914 1.914 0.000
1.914 1.914 3.010
```

Summary:
E_form (uncorrected) (eV/atom): 1.177
Electronic total energy (eV per cell): -17.86

---

No. 4
Entry from Alexandria via LeMat-Bulk: a relaxed structure of IrSeBr2O (PBE-GGA).

Geometry as POSCAR:
```
IrSeBr2O
1.0
4.712 0.000 0.000
0.000 4.712 0.000
0.000 0.000 4.282
Ir Se Br O
1 1 2 1
Cartesian
0.000 0.000 0.000
2.356 2.356 0.000
0.000 2.356 2.141
2.356 0.000 2.141
2.356 2.356 2.141
```

Summary:
E_form (uncorrected) (eV/atom): 1.285
Energy relative to the lowest polymorph listed for this composition (meV per atom): 332
Electronic total energy (eV per cell): -14.22

---

No. 5
Entry from Alexandria via LeMat-Bulk: a relaxed structure of IrSeBr2O (PBE-GGA).

Geometry as POSCAR:
```
IrSeBr2O
1.0
5.141 0.000 0.000
0.000 5.141 0.000
0.000 0.000 4.677
Ir Se Br O
1 1 2 1
Cartesian
0.000 0.000 0.000
0.000 0.000 2.339
0.000 2.570 0.000
2.570 0.000 0.000
2.570 2.570 2.339
```

Summary:
E_form (uncorrected) (eV/atom): 0.954
Energy relative to the lowest polymorph listed for this composition (meV per atom): 0
Electronic total energy (eV per cell): -15.88

---

No. 6
Entry from Alexandria via LeMat-Bulk: a relaxed structure of Sr3IrBr2O6 (PBE-GGA).

Geometry as POSCAR:
```
Sr3IrBr2O6
1.0
6.073 -3.452 0.000
6.073 3.452 0.000
-0.714 0.000 6.053
Sr Ir Br O
3 1 2 6
Cartesian
0.000 0.000 0.000
2.679 1.726 3.026
2.679 -1.726 3.026
5.716 0.000 3.026
2.115 0.000 5.382
9.317 0.000 0.671
4.995 1.384 4.141
6.436 1.384 1.912
4.052 0.000 2.085
7.379 0.000 3.968
4.995 -1.384 4.141
6.436 -1.384 1.912
```

Summary:
E_form (uncorrected) (eV/atom): -1.490
Electronic total energy (eV per cell): -64.88

---

No. 7
Entry from Alexandria via LeMat-Bulk: a relaxed structure of IrOs2Br (PBE-GGA).

Geometry as POSCAR:
```
IrOs2Br
1.0
0.000 3.148 3.148
3.148 0.000 3.148
3.148 3.148 0.000
Ir Os Br
1 2 1
Cartesian
0.000 0.000 0.000
1.574 1.574 1.574
4.723 4.723 4.723
3.148 3.148 3.148
```

Summary:
E_form (uncorrected) (eV/atom): 1.371
Energy relative to the lowest polymorph listed for this composition (meV per atom): 641
Electronic total energy (eV per cell): -27.51

---

No. 8
Entry from Alexandria via LeMat-Bulk: a relaxed structure of IrOs2Br (PBE-GGA).

Geometry as POSCAR:
```
IrOs2Br
1.0
2.786 0.000 0.000
0.000 4.744 0.000
0.000 0.000 4.758
Ir Os Br
1 2 1
Cartesian
0.000 0.000 0.000
0.000 2.372 2.379
1.393 0.000 2.379
1.393 2.372 0.000
```

Summary:
E_form (uncorrected) (eV/atom): 1.294
Energy relative to the lowest polymorph listed for this composition (meV per atom): 564
Electronic total energy (eV per cell): -27.82